Arrangement one

A plane-wave DFT calculation with GGA-PBE was carried out for a relaxed AgAsSe2I crystal.

abc: 5.0772 5.0772 5.2090
angles: 90.00 90.00 90.00
Last column: nearest neighbours and their distance in Å.
Atoms (fractional coordinates):
I 0.5000 0.5000 0.5000  4 As 3.59, 8 Se 3.64
As 0.0000 0.0000 0.5000  2 Ag 2.60
Se 0.0000 0.5000 0.0000  2 Ag 2.54
Se 0.5000 0.0000 0.0000  2 Ag 2.54
Ag 0.0000 0.0000 0.0000  4 Se 2.54, 2 As 2.60

Summary:
* volume: 26.86 Å³ per atom
* Fermi-level density of states: 6.5 states/eV per cell
* SG: P4/mmm (123)

***

Arrangement two

A plane-wave DFT calculation with GGA-PBE was carried out for a relaxed AgAsSe2I crystal.

abc: 5.3658 7.1271 7.9514
angles: 99.44 90.00 90.00
Last column: nearest neighbours and their distance in Å.
Atoms (fractional coordinates):
Ag 0.2500 0.6565 0.9098  3 Se 2.60-2.71, 1 I 2.72
Ag 0.7500 0.3435 0.0902  3 Se 2.60-2.71, 1 I 2.72
As 0.2500 0.6110 0.3864  2 Se 2.43-2.53
As 0.7500 0.3890 0.6136  2 Se 2.43-2.53
Se 0.7500 0.6416 0.4426  1 As 2.43
Se 0.2500 0.3584 0.5574  1 As 2.43
Se 0.7500 0.6063 0.8996  1 As 2.53, 3 Ag 2.60-2.71
Se 0.2500 0.3937 0.1004  1 As 2.53, 3 Ag 2.60-2.71
I 0.2500 0.9637 0.7466  1 Ag 2.72
I 0.7500 0.0363 0.2534  1 Ag 2.72

Summary:
* volume: 30.00 Å³ per atom
* Fermi-level density of states: 3.9 states/eV per cell
* SG: P2_1/m (11)

***

Stability summary: most stable arrangement two, least stable arrangement one.

***

Arrangement one

A plane-wave DFT calculation with GGA-PBE was carried out for a relaxed In2AgAs crystal.

abc: 5.2246 5.2246 5.2246
angles: 128.91 120.09 82.57
Last column: nearest neighbours and their distance in Å.
Atoms (fractional coordinates):
As 0.2500 0.7500 0.5000  8 In 3.02-3.24
Ag 0.7500 0.2500 0.5000  8 In 2.96-3.29
In 0.9939 0.9939 0.0000  4 Ag 2.96-3.29, 4 As 3.02-3.24
In 0.5061 0.5061 0.0000  4 Ag 2.96-3.29, 4 As 3.02-3.24

Summary:
* volume: 23.08 Å³ per atom
* Fermi-level density of states: 1.3 states/eV per cell
* SG: Immm (71)

***

Arrangement two

A plane-wave DFT calculation with GGA-PBE was carried out for a relaxed In2AgAs crystal.

abc: 3.9031 4.0569 6.2514
angles: 70.35 90.00 90.00
Last column: nearest neighbours and their distance in Å.
Atoms (fractional coordinates):
As 0.5000 0.5374 0.8058  2 Ag 2.87, 5 In 2.92-2.95
Ag 0.0000 0.7089 0.4494  2 As 2.87, 5 In 2.93-3.02
In 0.0000 0.9706 0.9371  4 As 2.92, 1 Ag 3.02
In 0.5000 0.2831 0.3076  4 Ag 2.93-2.94, 1 As 2.95

Summary:
* volume: 23.31 Å³ per atom
* Fermi-level density of states: 1.9 states/eV per cell
* SG: Pm (6)

***

Arrangement three

A plane-wave DFT calculation with GGA-PBE was carried out for a relaxed In2AgAs crystal.

abc: 3.7812 2.9239 8.2317
angles: 90.01 90.00 90.00
Last column: nearest neighbours and their distance in Å.
Atoms (fractional coordinates):
As 0.5000 0.7500 0.7500  4 In 2.88, 2 As 2.92
Ag 0.5000 0.2500 0.2500  2 Ag 2.92, 8 In 3.08
In 0.0000 0.7497 0.0141  2 As 2.88, 2 In 2.92, 4 Ag 3.08
In 0.0000 0.7503 0.4859  2 As 2.88, 2 In 2.92, 4 Ag 3.08

Summary:
* volume: 22.75 Å³ per atom
* Fermi-level density of states: 1.1 states/eV per cell
* SG: Pmmm (47)

***

Arrangement four

A plane-wave DFT calculation with GGA-PBE was carried out for a relaxed In2AgAs crystal.

abc: 4.3717 5.2150 3.9986
angles: 90.00 90.00 90.00
Last column: nearest neighbours and their distance in Å.
Atoms (fractional coordinates):
As 0.0000 0.5000 0.5000  8 In 2.96-3.29
Ag 0.5000 0.0000 0.5000  8 In 2.96-3.29
In 0.0000 0.0000 0.0000  4 Ag 2.96, 4 As 3.29
In 0.5000 0.5000 0.0000  4 As 2.96, 4 Ag 3.29

Summary:
* volume: 22.79 Å³ per atom
* Fermi-level density of states: 1.2 states/eV per cell
* SG: Pmmm (47)

***

Stability summary: most stable arrangement two, least stable arrangement one.